(1)
# Ba2PuBe2P4

Ba2PuBe2P4 after structural relaxation (PBE, the Alexandria database).

Properties
final energy	-6.065	eV per atom
SG	C2/m (12)
total magnetic moment	4.0	μB/f.u.
V	203.9	Å³/f.u.

a b c (Å): 3.9985 7.3667 7.6496
angles (deg): 109.62 105.15 90.00
Last column: nearest neighbours and their distance in Å.
Element x y z (fractional)
Ba1 0.1379 0.5776 0.2758  6 P 3.21-3.45, 3 Be 3.45-3.48
Ba2 0.8621 0.4224 0.7242  6 P 3.21-3.45, 3 Be 3.45-3.48
Pu1 0.0000 0.0000 0.0000  6 P 2.75-2.81
Be1 0.6733 0.9787 0.3466  4 P 2.21-2.32
Be2 0.3267 0.0213 0.6534  4 P 2.21-2.32
P1 0.2027 0.1471 0.4054  3 Be 2.31-2.32
P2 0.7973 0.8529 0.5946  3 Be 2.31-2.32
P3 0.5243 0.7656 0.0487  1 Be 2.21
P4 0.4757 0.2344 0.9513  1 Be 2.21


(2)
# CuH7Pd12

CuH7Pd12 after structural relaxation (PBE, the Alexandria database).

Properties
final energy	-4.561	eV per atom
SG	R-3 (148)
total magnetic moment	0.0	μB/f.u.
V	216.0	Å³/f.u.

a b c (Å): 6.4062 6.4062 6.4062
angles (deg): 107.49 107.49 107.49
Last column: nearest neighbours and their distance in Å.
Element x y z (fractional)
Cu1 0.0000 0.0000 0.0000  6 H 2.23
H1 0.9356 0.6125 0.8709  4 Pd 1.85-2.03
H2 0.3875 0.1291 0.0644  4 Pd 1.85-2.03
H3 0.1291 0.0644 0.3875  4 Pd 1.85-2.03
H4 0.5000 0.5000 0.5000  6 Pd 2.03
H5 0.8709 0.9356 0.6125  4 Pd 1.85-2.03
H6 0.6125 0.8709 0.9356  4 Pd 1.85-2.03
H7 0.0644 0.3875 0.1291  4 Pd 1.85-2.03
Pd1 0.9245 0.3048 0.7705  2 H 1.85-2.03
Pd2 0.6952 0.2295 0.0755  2 H 1.85-2.03
Pd3 0.4575 0.1514 0.3852  3 H 1.92-2.03
Pd4 0.8486 0.6148 0.5425  3 H 1.92-2.03
Pd5 0.2295 0.0755 0.6952  2 H 1.85-2.03
Pd6 0.6148 0.5425 0.8486  3 H 1.92-2.03
Pd7 0.3852 0.4575 0.1514  3 H 1.92-2.03
Pd8 0.7705 0.9245 0.3048  2 H 1.85-2.03
Pd9 0.1514 0.3852 0.4575  3 H 1.92-2.03
Pd10 0.5425 0.8486 0.6148  3 H 1.92-2.03
Pd11 0.3048 0.7705 0.9245  2 H 1.85-2.03
Pd12 0.0755 0.6952 0.2295  2 H 1.85-2.03


(3)
# PmPaSi2Rh5

PmPaSi2Rh5 after structural relaxation (PBE, the Alexandria database).

Properties
final energy	-7.607	eV per atom
raw formation energy	-0.735	eV/atom
SG	P4/mmm (123)
total magnetic moment	0.0	μB/f.u.
V	177.2	Å³/f.u.

a b c (Å): 4.0254 4.0254 10.9363
angles (deg): 90.00 90.00 90.00
Last column: nearest neighbours and their distance in Å.
Element x y z (fractional)
Pm1 0.0000 0.0000 0.5000  4 Rh 2.85
Pa1 0.0000 0.0000 0.0000  8 Rh 2.77
Si1 0.5000 0.5000 0.2876  5 Rh 2.32-2.36
Si2 0.5000 0.5000 0.7124  5 Rh 2.32-2.36
Rh1 0.0000 0.5000 0.1744  2 Si 2.36
Rh2 0.5000 0.0000 0.1744  2 Si 2.36
Rh3 0.0000 0.5000 0.8256  2 Si 2.36
Rh4 0.5000 0.0000 0.8256  2 Si 2.36
Rh5 0.5000 0.5000 0.5000  2 Si 2.32